No. 1
Material: CrRhAu
Method: DFT, meta-GGA SCAN
State: single point on PBEsol structure

- ΔE to the lowest computed polymorph (kJ/mol of formula units) = 0

POSCAR file:
```
CrRhAu
1.0
2.7096 0.0000 0.0000
0.0000 2.7096 0.0000
0.0000 0.0000 11.3601
Cr Rh Au
2 2 2
Direct
0.0000 0.0000 0.0000
0.5000 0.5000 0.5000
0.0000 0.0000 0.6383
0.5000 0.5000 0.1383
0.0000 0.0000 0.3284
0.5000 0.5000 0.8284
```

No. 2
Material: SrBe2Cu
Method: DFT, meta-GGA SCAN
State: single point on PBEsol structure

- ΔE to the lowest computed polymorph (kJ/mol of formula units) = 271

POSCAR file:
```
SrBe2Cu
1.0
5.2348 0.0000 0.0000
0.0000 9.8871 0.0000
-1.3168 0.0000 2.6580
Sr Be Cu
2 4 2
Direct
0.0000 0.0000 0.0000
0.5000 0.5000 0.0000
0.2500 0.2500 0.5000
0.2500 0.7500 0.5000
0.7500 0.2500 0.5000
0.7500 0.7500 0.5000
0.0000 0.5000 0.0000
0.5000 0.0000 0.0000
```

No. 3
Material: AlCr
Method: DFT, meta-GGA SCAN
State: single point on PBEsol structure

- VASP energy (eV/atom) = -13.166

POSCAR file:
```
AlCr
1.0
5.8336 0.0000 0.0000
0.0000 5.8336 0.0000
0.0000 0.0000 5.8336
Al Cr
8 8
Direct
0.1250 0.1250 0.1250
0.1250 0.6250 0.6250
0.3750 0.3750 0.8750
0.3750 0.8750 0.3750
0.6250 0.1250 0.6250
0.6250 0.6250 0.1250
0.8750 0.3750 0.3750
0.8750 0.8750 0.8750
0.1250 0.1250 0.6250
0.1250 0.6250 0.1250
0.3750 0.3750 0.3750
0.3750 0.8750 0.8750
0.6250 0.1250 0.1250
0.6250 0.6250 0.6250
0.8750 0.3750 0.8750
0.8750 0.8750 0.3750
```

No. 4
Material: TlCdPb2
Method: DFT, meta-GGA SCAN
State: single point on PBEsol structure

- ΔE to the lowest computed polymorph (kJ/mol of formula units) = 4

POSCAR file:
```
TlCdPb2
1.0
3.3986 0.0000 0.0000
0.0000 4.6642 0.0000
-0.5651 0.0000 6.9011
Tl Cd Pb
1 1 2
Direct
0.0000 0.0000 0.0000
0.0000 0.0000 0.5000
0.4694 0.5000 0.7364
0.5306 0.5000 0.2636
```

No. 5
Material: ZnTc3C
Method: DFT, meta-GGA SCAN
State: single point on PBEsol structure

- VASP energy (eV/atom) = -22.681

POSCAR file:
```
ZnTc3C
1.0
4.4146 0.0000 0.0000
0.0000 4.4146 0.0000
0.0000 0.0000 4.4146
Zn Tc C
1 3 1
Direct
0.0000 0.0000 0.0000
0.0000 0.0000 0.5000
0.0000 0.5000 0.0000
0.5000 0.0000 0.0000
0.5000 0.5000 0.5000
```

No. 6
Material: Mg2SbPb
Method: DFT, meta-GGA SCAN
State: single point on PBEsol structure

- ΔE to the lowest computed polymorph (kJ/mol of formula units) = 6

POSCAR file:
```
Mg2SbPb
1.0
3.6496 0.0000 0.0000
-1.8248 3.1606 0.0000
0.0000 0.0000 26.1511
Mg Sb Pb
6 3 3
Direct
0.0000 0.0000 0.2469
0.0000 0.0000 0.7531
0.3333 0.6667 0.4198
0.3333 0.6667 0.9136
0.6667 0.3333 0.0864
0.6667 0.3333 0.5802
0.0000 0.0000 0.5000
0.3333 0.6667 0.1667
0.6667 0.3333 0.8333
0.0000 0.0000 0.0000
0.3333 0.6667 0.6667
0.6667 0.3333 0.3333
```

No. 7
Material: CdSe3F
Method: DFT, meta-GGA SCAN
State: single point on PBEsol structure

- VASP energy (eV/atom) = -18.550

POSCAR file:
```
CdSe3F
1.0
4.6330 0.0000 0.0000
0.0000 4.6330 0.0000
0.0000 0.0000 4.6330
Cd Se F
1 3 1
Direct
0.0000 0.0000 0.0000
0.0000 0.5000 0.5000
0.5000 0.0000 0.5000
0.5000 0.5000 0.0000
0.5000 0.5000 0.5000
```

No. 8
Material: Ba2ScSb
Method: DFT, meta-GGA SCAN
State: single point on PBEsol structure

- VASP energy (eV/atom) = -33.147

POSCAR file:
```
Ba2ScSb
1.0
4.6409 0.0000 0.0000
0.0000 5.0383 0.0000
0.0000 0.0000 13.3917
Ba Sc Sb
4 2 2
Direct
0.0000 0.0000 0.0000
0.0000 0.5000 0.5000
0.5000 0.0000 0.2939
0.5000 0.5000 0.7939
0.5000 0.0000 0.5885
0.5000 0.5000 0.0885
0.0000 0.0000 0.7146
0.0000 0.5000 0.2146
```

No. 9
Material: ReOsCl2
Method: DFT, meta-GGA SCAN
State: single point on PBEsol structure

- ΔE to the lowest computed polymorph (kJ/mol of formula units) = 596

POSCAR file:
```
ReOsCl2
1.0
6.0648 0.0000 0.0000
0.0000 6.0648 0.0000
0.0000 0.0000 6.0648
Re Os Cl
4 4 8
Direct
0.0000 0.0000 0.0000
0.0000 0.5000 0.5000
0.5000 0.0000 0.5000
0.5000 0.5000 0.0000
0.0000 0.0000 0.5000
0.0000 0.5000 0.0000
0.5000 0.0000 0.0000
0.5000 0.5000 0.5000
0.2500 0.2500 0.2500
0.2500 0.2500 0.7500
0.2500 0.7500 0.2500
0.2500 0.7500 0.7500
0.7500 0.2500 0.2500
0.7500 0.2500 0.7500
0.7500 0.7500 0.2500
0.7500 0.7500 0.7500
```

No. 10
Material: Ta2FeNi
Method: DFT, meta-GGA SCAN
State: single point on PBEsol structure

- VASP energy (eV/atom) = -42.014

POSCAR file:
```
Ta2FeNi
1.0
4.0313 0.0000 0.0000
0.0000 2.9395 0.0000
0.0000 0.0000 9.4428
Ta Fe Ni
4 2 2
Direct
0.0000 0.0000 0.0000
0.0000 0.5000 0.5000
0.5000 0.0000 0.2897
0.5000 0.5000 0.7897
0.0000 0.0000 0.7390
0.0000 0.5000 0.2390
0.5000 0.0000 0.5637
0.5000 0.5000 0.0637
```

No. 11
Material: LiAlB3
Method: DFT, meta-GGA SCAN
State: single point on PBEsol structure

- VASP energy (eV/atom) = -4.920

POSCAR file:
```
LiAlB3
1.0
4.1483 0.0000 0.0000
0.0000 4.1483 0.0000
0.0000 0.0000 4.1483
Li Al B
1 1 3
Direct
0.0000 0.0000 0.0000
0.5000 0.5000 0.5000
0.0000 0.5000 0.5000
0.5000 0.0000 0.5000
0.5000 0.5000 0.0000
```

No. 12
Material: ScTlNi2
Method: DFT, meta-GGA SCAN
State: single point on PBEsol structure

- VASP energy (eV/atom) = -29.888

POSCAR file:
```
ScTlNi2
1.0
4.1482 0.0000 0.0000
-2.0741 3.5925 0.0000
0.0000 0.0000 13.2815
Sc Tl Ni
3 3 6
Direct
0.0000 0.0000 0.0000
0.3333 0.6667 0.6667
0.6667 0.3333 0.3333
0.0000 0.0000 0.2104
0.3333 0.6667 0.8770
0.6667 0.3333 0.5437
0.0000 0.0000 0.4274
0.0000 0.0000 0.7836
0.3333 0.6667 0.0941
0.3333 0.6667 0.4503
0.6667 0.3333 0.1170
0.6667 0.3333 0.7608
```

Short version: calculated volume = 83.4 137.6 198.5 109.4 86.0 301.7 99.4 313.1 223.1 111.9 71.4 197.9 Å³ per cell, in the order given.
Short version: theoretical density = 14.01 4.08 5.28 11.10 7.17 6.24 6.15 4.68 13.32 14.14 1.54 9.23 g cm⁻³, in the order given.